Entry 1:
TeMoH2Pt after structural relaxation. Source: the Alexandria database, functional GGA-PBEsol.

Calculated values
Total magnetic moment in μB/f.u.: 0.15
VASP energy in eV per formula unit: -26.40
V in A^3/atom: 14.28

Cell lengths 3.7180, 3.7180, 5.1655 Å; angles 90.00, 90.00, 90.00 degrees
Closest atoms and distances in Å follow each position.
Space group P4/mmm (No. 123)
Symmetry-distinct sites (fractional):
1 Te 0.0000 0.0000 0.0000 [1 per cell]  4 Mo 2.63
2 Mo 0.5000 0.5000 0.0000 [1 per cell]  2 Pt 2.58, 4 Te 2.63
3 H 0.0000 0.5000 0.5000 [2 per cell]  2 Pt 1.86
4 Pt 0.5000 0.5000 0.5000 [1 per cell]  4 H 1.86



Entry 2:
MoH2Rh2 after structural relaxation. Source: the Alexandria database, functional GGA-PBEsol.

Calculated values
Total magnetic moment in μB/f.u.: 0.00
VASP energy in eV per formula unit: -35.19
V in A^3/atom: 9.56

Cell lengths 2.7871, 2.7871, 12.3060 Å; angles 90.00, 90.00, 90.00 degrees
Closest atoms and distances in Å follow each position.
Space group I4/mmm (No. 139)
Symmetry-distinct sites (fractional):
1 Mo 0.0000 0.0000 0.0000 [2 per cell]  8 Rh 2.70, 4 Mo 2.79
2 H 0.0000 0.5000 0.2500 [4 per cell]  4 Rh 1.86, 4 H 1.97
3 Rh 0.0000 0.0000 0.3502 [4 per cell]  4 H 1.86



Entry 3:
Mo2H2Rh after structural relaxation. Source: the Alexandria database, functional GGA-PBEsol.

Calculated values
Total magnetic moment in μB/f.u.: 0.00
VASP energy in eV per formula unit: -37.52
V in A^3/atom: 9.89

Cell lengths 3.4187, 3.4187, 8.4655 Å; angles 90.00, 90.00, 90.00 degrees
Closest atoms and distances in Å follow each position.
Space group I4/mmm (No. 139)
Symmetry-distinct sites (fractional):
1 Mo 0.0000 0.0000 0.1549 [4 per cell]  4 H 1.89
2 H 0.0000 0.5000 0.2500 [4 per cell]  4 Mo 1.89
3 Rh 0.0000 0.0000 0.5000 [2 per cell]  8 H 2.72, 10 Mo 2.75-2.92



Entry 4:
Mo3HRh after structural relaxation. Source: the Alexandria database, functional GGA-PBEsol.

Calculated values
Total magnetic moment in μB/f.u.: 0.00
VASP energy in eV per formula unit: -46.74
V in A^3/atom: 12.24

Cell lengths 3.9407, 3.9407, 3.9407 Å; angles 90.00, 90.00, 90.00 degrees
Closest atoms and distances in Å follow each position.
Space group Pm-3m (No. 221)
Symmetry-distinct sites (fractional):
1 Mo 0.0000 0.0000 0.5000 [3 per cell]  2 H 1.97
2 H 0.0000 0.0000 0.0000 [1 per cell]  6 Mo 1.97
3 Rh 0.5000 0.5000 0.5000 [1 per cell]  12 Mo 2.79



Entry 5:
TeMo2HRh after structural relaxation. Source: the Alexandria database, functional GGA-PBEsol.

Calculated values
Total magnetic moment in μB/f.u.: 3.75
VASP energy in eV per formula unit: -28.26
V in A^3/atom: 22.72

Cell lengths 4.7672, 4.7672, 4.9987 Å; angles 90.00, 90.00, 90.00 degrees
Closest atoms and distances in Å follow each position.
Space group P4/mmm (No. 123)
Symmetry-distinct sites (fractional):
1 Te 0.0000 0.0000 0.0000 [1 per cell]  2 Rh 2.50
2 Mo 0.0000 0.5000 0.5000 [2 per cell]  2 Rh 2.38
3 H 0.5000 0.5000 0.0000 [1 per cell]  4 Te 3.37, 8 Mo 3.45
4 Rh 0.0000 0.0000 0.5000 [1 per cell]  4 Mo 2.38, 2 Te 2.50



Entry 6:
MoH2Ru after structural relaxation. Source: the Alexandria database, functional GGA-PBEsol.

Calculated values
Total magnetic moment in μB/f.u.: 0.00
VASP energy in eV per formula unit: -28.08
V in A^3/atom: 8.71

Cell lengths 4.1315, 4.1315, 8.1605 Å; angles 90.00, 90.00, 90.00 degrees
Closest atoms and distances in Å follow each position.
Space group I-42d (No. 122)
Symmetry-distinct sites (fractional):
1 Mo 0.0000 0.0000 0.0000 [4 per cell]  4 H 1.82
2 H 0.2330 0.2500 0.6250 [8 per cell]  2 Ru 1.74, 2 Mo 1.82
3 Ru 0.0000 0.0000 0.5000 [4 per cell]  4 H 1.74



Entry 7:
SbMo2H2 after structural relaxation. Source: the Alexandria database, functional GGA-PBEsol.

Calculated values
Total magnetic moment in μB/f.u.: 0.00
VASP energy in eV per formula unit: -34.44
V in A^3/atom: 11.16

Cell lengths 3.2170, 3.2170, 10.7838 Å; angles 90.00, 90.00, 90.00 degrees
Closest atoms and distances in Å follow each position.
Space group I4/mmm (No. 139)
Symmetry-distinct sites (fractional):
1 Sb 0.0000 0.0000 0.0000 [2 per cell]  8 Mo 2.83, 8 H 3.14
2 Mo 0.0000 0.0000 0.3434 [4 per cell]  4 H 1.90
3 H 0.0000 0.5000 0.2500 [4 per cell]  4 Mo 1.90



Entry 8:
TlSbMo2H after structural relaxation. Source: the Alexandria database, functional GGA-PBEsol.

Calculated values
Total magnetic moment in μB/f.u.: 3.06
VASP energy in eV per formula unit: -26.60
V in A^3/atom: 18.34

Cell lengths 5.1705, 5.1705, 3.4297 Å; angles 90.00, 90.00, 90.00 degrees
Closest atoms and distances in Å follow each position.
Space group P4/mmm (No. 123)
Symmetry-distinct sites (fractional):
1 Tl 0.0000 0.0000 0.0000 [1 per cell]  2 H 1.71
2 Sb 0.5000 0.5000 0.5000 [1 per cell]  8 Mo 3.10, 2 Sb 3.43
3 Mo 0.0000 0.5000 0.0000 [2 per cell]  2 Tl 2.59
4 H 0.0000 0.0000 0.5000 [1 per cell]  2 Tl 1.71



Entry 9:
ScMoH3 after structural relaxation. Source: the Alexandria database, functional GGA-PBEsol.

Calculated values
Total magnetic moment in μB/f.u.: 0.00
VASP energy in eV per formula unit: -26.76
V in A^3/atom: 8.65

Cell lengths 3.5102, 3.5102, 3.5102 Å; angles 90.00, 90.00, 90.00 degrees
Closest atoms and distances in Å follow each position.
Space group Pm-3m (No. 221)
Symmetry-distinct sites (fractional):
1 Sc 0.0000 0.0000 0.0000 [1 per cell]  6 H 1.76
2 Mo 0.5000 0.5000 0.5000 [1 per cell]  12 H 2.48
3 H 0.0000 0.0000 0.5000 [3 per cell]  2 Sc 1.76



Entry 10:
Sc3MoH after structural relaxation. Source: the Alexandria database, functional GGA-PBEsol.

Calculated values
Total magnetic moment in μB/f.u.: 0.00
VASP energy in eV per formula unit: -34.96
V in A^3/atom: 16.06

Cell lengths 4.3142, 4.3142, 4.3142 Å; angles 90.00, 90.00, 90.00 degrees
Closest atoms and distances in Å follow each position.
Space group Pm-3m (No. 221)
Symmetry-distinct sites (fractional):
1 Sc 0.0000 0.0000 0.5000 [3 per cell]  2 H 2.16
2 Mo 0.5000 0.5000 0.5000 [1 per cell]  12 Sc 3.05
3 H 0.0000 0.0000 0.0000 [1 per cell]  6 Sc 2.16



Entry 11:
MoHSe3 after structural relaxation. Source: the Alexandria database, functional GGA-PBEsol.

Calculated values
Total magnetic moment in μB/f.u.: 0.96
VASP energy in eV per formula unit: -23.70
V in A^3/atom: 23.07

Cell lengths 4.8681, 4.8681, 4.8681 Å; angles 90.00, 90.00, 90.00 degrees
Closest atoms and distances in Å follow each position.
Space group Pm-3m (No. 221)
Symmetry-distinct sites (fractional):
1 Mo 0.0000 0.0000 0.0000 [1 per cell]  6 Se 2.43
2 H 0.5000 0.5000 0.5000 [1 per cell]  12 Se 3.44
3 Se 0.0000 0.0000 0.5000 [3 per cell]  2 Mo 2.43



Entry 12:
SrMoHSe2 after structural relaxation. Source: the Alexandria database, functional GGA-PBEsol.

Calculated values
Total magnetic moment in μB/f.u.: 0.00
VASP energy in eV per formula unit: -24.01
V in A^3/atom: 27.82

Cell lengths 4.6950, 4.6950, 6.3104 Å; angles 90.00, 90.00, 90.00 degrees
Closest atoms and distances in Å follow each position.
Space group P4/mmm (No. 123)
Symmetry-distinct sites (fractional):
1 Sr 0.0000 0.0000 0.0000 [1 per cell]  2 Mo 3.16, 4 H 3.32
2 Mo 0.0000 0.0000 0.5000 [1 per cell]  4 Se 2.35
3 H 0.5000 0.5000 0.0000 [1 per cell]  4 Sr 3.32
4 Se 0.0000 0.5000 0.5000 [2 per cell]  2 Mo 2.35